The following is a PBE-GGA calculation of a relaxed structure of TcAu2Br, from the Alexandria database.

Structure (CIF):
```
data_TcAu2Br
_chemical_formula_sum 'Tc1 Au2 Br1'
_space_group_name_H-M_alt 'P 1 2/m 1'
_space_group_IT_number 10
_cell_length_a 5.341
_cell_length_b 3.265
_cell_length_c 5.516
_cell_angle_alpha 90.00
_cell_angle_beta 118.59
_cell_angle_gamma 90.00
loop_
_space_group_symop_operation_xyz
'x,y,z'
'-x,-y,-z'
'-x,y,-z'
'x,-y,z'
loop_
_atom_site_label
_atom_site_fract_x
_atom_site_fract_y
_atom_site_fract_z
Tc1 0.000 0.000 0.000
Au1 0.227 0.500 0.454
Br1 0.500 0.000 0.000
```

Summary:
Volume in Å³/cell: 84.4
Spin magnetization in μB per formula unit: 3.01
Offset from the most stable computed form in eV per atom: 0.258
Final energy in eV/f.u.: -16.19
Raw formation energy in eV/atom: 0.6009